This record from the Alexandria database describes a PBEsol-optimized structure of TaBe2Sb. The functional is meta-GGA SCAN.

It has space group P2/m (No. 10), with a = 2.9655 Å, b = 3.7636 Å, c = 5.2742 Å, α = 90.00°, β = 91.64° and γ = 90.00°. The distinct sites, in fractional coordinates, are Ta at (0.0000, 0.0000, 0.0000), Be at (0.4896, 0.5000, 0.8050) and Sb at (0.5000, 0.0000, 0.5000).

The calculation puts the magnetization at 0.0 μB/f.u. As for the total energy: -27.864 eV/atom.